Material: SrCe2US8
Method: DFT, PBE-GGA
State: optimized geometry

Output
Formation energy from raw total energies: -1.502 eV/atom
DFT total energy: -75.88 eV per cell
Space-group type: P2/m, No. 10

a b c (Å): 6.2449 8.4192 6.3806
angles (deg): 90.00 90.38 90.00
Closest atoms and distances in Å follow each position.
Sites, in units of the cell vectors:
Sr  0.0000  0.0000  0.0000  6 S 2.93-2.98
Ce  0.5000  0.2489  0.5000  6 S 2.66-2.80
Ce  0.5000  0.7511  0.5000  6 S 2.66-2.80
U  0.0000  0.5000  0.0000  6 S 2.53-2.64
S  0.2309  0.2851  0.8420  1 U 2.53, 1 Ce 2.78
S  0.2309  0.7149  0.8420  1 U 2.53, 1 Ce 2.78
S  0.2649  0.5000  0.3249  1 U 2.64, 2 Ce 2.80
S  0.2700  0.0000  0.3769  2 Ce 2.66, 1 Sr 2.93
S  0.7300  0.0000  0.6231  2 Ce 2.66, 1 Sr 2.93
S  0.7351  0.5000  0.6751  1 U 2.64, 2 Ce 2.80
S  0.7691  0.2851  0.1580  1 U 2.53, 1 Ce 2.78
S  0.7691  0.7149  0.1580  1 U 2.53, 1 Ce 2.78


Material: Sr2CeZnS5
Method: DFT, PBE-GGA
State: optimized geometry

Output
Formation energy from raw total energies: -1.704 eV/atom
DFT total energy: -93.08 eV per cell
Space-group type: Cmc2_1, No. 36

a b c (Å): 9.0165 9.0165 12.3423
angles (deg): 90.00 90.00 153.93
Closest atoms and distances in Å follow each position.
Sites, in units of the cell vectors:
Sr  0.1071  0.8929  0.5000  6 S 3.00-3.28
Sr  0.1195  0.8805  0.1376  6 S 2.97-3.19
Sr  0.8805  0.1195  0.6376  6 S 2.97-3.19
Sr  0.8929  0.1071  0.0000  6 S 3.00-3.28
Ce  0.2067  0.7933  0.8364  6 S 2.66-2.76
Ce  0.7933  0.2067  0.3364  6 S 2.66-2.76
Zn  0.4448  0.5552  0.2579  4 S 2.28-2.53
Zn  0.5552  0.4448  0.7579  4 S 2.28-2.53
S  0.0511  0.9489  0.8586  2 Zn 2.38
S  0.2903  0.7097  0.4848  2 Ce 2.74
S  0.3095  0.6905  0.1873  1 Zn 2.53, 2 Ce 2.76
S  0.3578  0.6422  0.8228  1 Ce 2.66
S  0.4992  0.5008  0.5914  1 Zn 2.28
S  0.5008  0.4992  0.0914  1 Zn 2.28
S  0.6422  0.3578  0.3228  1 Ce 2.66
S  0.6905  0.3095  0.6873  1 Zn 2.53, 2 Ce 2.76
S  0.7097  0.2903  0.9848  2 Ce 2.74
S  0.9489  0.0511  0.3586  2 Zn 2.38


Material: Ce2TaS6
Method: DFT, PBE-GGA
State: optimized geometry

Output
E above lowest polymorph: 0 meV/atom
Formation energy from raw total energies: -1.521 eV/atom
DFT total energy: -124.35 eV per cell
Space-group type: P2_1/c, No. 14

a b c (Å): 6.2567 7.2871 10.6109
angles (deg): 90.00 124.30 90.00
Closest atoms and distances in Å follow each position.
Sites, in units of the cell vectors:
Ce  0.2147  0.1163  0.2498  8 S 2.74-3.05
Ce  0.2147  0.3837  0.7498  8 S 2.74-3.05
Ce  0.7853  0.6163  0.2502  8 S 2.74-3.05
Ce  0.7853  0.8837  0.7502  8 S 2.74-3.05
Ta  0.5000  0.0000  0.0000  6 S 2.44-2.46
Ta  0.5000  0.5000  0.5000  6 S 2.44-2.46
S  0.1137  0.1667  0.9421  1 Ta 2.45
S  0.1137  0.3333  0.4421  1 Ta 2.45
S  0.2880  0.6985  0.9402  1 Ta 2.46
S  0.2880  0.8015  0.4402  1 Ta 2.46
S  0.3606  0.0333  0.7356  1 Ta 2.44
S  0.3606  0.4667  0.2356  1 Ta 2.44
S  0.6394  0.5333  0.7644  1 Ta 2.44
S  0.6394  0.9667  0.2644  1 Ta 2.44
S  0.7120  0.1985  0.5598  1 Ta 2.46
S  0.7120  0.3015  0.0598  1 Ta 2.46
S  0.8863  0.6667  0.5579  1 Ta 2.45
S  0.8863  0.8333  0.0579  1 Ta 2.45